Record 1
{
  "formula": "Ce2Ho3Se4",
  "functional": "PBE",
  "state": "relaxed",
  "raw_formation_energy_mev_per_atom": -1480,
  "n_ef_per_ev_cell": 14.1,
  "dft_energy_ha_per_atom": -0.2158,
  "space_group": "Immm, No. 71",
  "lattice_angstrom": [[3.8582, 0.0000, 0.9491], [0.4532, 8.5710, 6.4748], [-0.8568, 6.5966, 11.8003]],
  "species": ["Ce", "Ce", "Se", "Se", "Se", "Se", "Ho", "Ho", "Ho"],
  "frac_coords": [[0.5889, 0.2331, 0.5891], [0.4111, 0.7669, 0.4109], [0.6008, 0.6975, 0.1010], [0.1988, 0.9036, 0.6989], [0.8012, 0.0964, 0.3011], [0.3992, 0.3025, 0.8990], [0.0000, 0.0000, 0.0000], [0.1998, 0.4003, 0.2001], [0.8002, 0.5997, 0.7999]]
}

***

Record 2
{
  "formula": "CeHo2Se3",
  "functional": "PBE",
  "state": "relaxed",
  "raw_formation_energy_mev_per_atom": -1758,
  "n_ef_per_ev_cell": 7.1,
  "dft_energy_ha_per_atom": -0.2210,
  "space_group": "Immm, No. 71",
  "lattice_angstrom": [[3.7547, -0.0004, -1.5670], [-1.1264, 5.0264, -2.7003], [0.7498, 0.6060, 7.0785]],
  "species": ["Se", "Se", "Se", "Ho", "Ho", "Ce"],
  "frac_coords": [[0.5000, 0.5000, 0.0000], [0.8257, 0.8257, 0.6514], [0.1743, 0.1743, 0.3486], [0.8364, 0.3364, 0.6728], [0.1636, 0.6636, 0.3272], [0.5000, 0.0000, 0.0000]]
}

***

What is the formula in the second record? CeHo2Se3